BRh: optimized geometry, PBE.

Cell: 6.4199 6.4199 6.4199 Å, 90.00 90.00 90.00°
Closest atoms and distances in Å follow each position.
Space group I-43m (No. 217)
One atom of each set of equivalent atoms:
B: 0.1601 0.1601 0.1601  4 Rh 2.01-2.05
Rh: 0.1590 0.1590 0.8410  4 B 2.01-2.05

Its formation energy is 0.311 eV per atom.